No. 1
Compound: ZrSn2
Source: the Open Quantum Materials Database
Functional: PBE
Structure: optimized geometry

Properties
Its symmetry is No. 227. The calculation puts the total DFT energy (no corrections) at -5.251 eV/atom. As for the magnetic moment: 0.051 Bohr magnetons per cell.

Cell: 5.930 5.930 5.930 Å, 60.00 60.00 60.00°
Fractional coordinates of all 6 atoms:
Sn 0.625 0.625 0.125
Sn 0.625 0.625 0.625
Sn 0.625 0.125 0.625
Sn 0.125 0.625 0.625
Zr 0.250 0.250 0.250
Zr 0.000 0.000 0.000


No. 2
Compound: ZrCo3
Source: the Open Quantum Materials Database
Functional: PBE
Structure: optimized geometry

Properties
Its symmetry is No. 225. As for the magnetic moment: 3.452 Bohr magnetons per cell. The calculation puts the formation energy from the elements at 7.5 meV per atom.

Cell: 4.236 4.236 4.236 Å, 60.00 60.00 60.00°
Fractional coordinates of all 4 atoms:
Co 0.500 0.500 0.500
Co 0.250 0.250 0.250
Co 0.000 0.000 0.000
Zr 0.750 0.750 0.750


No. 3
Compound: Cu2Ag
Source: the Open Quantum Materials Database
Functional: PBE
Structure: optimized geometry

Properties
Its symmetry is No. 12. The distance to the lowest polymorph of the same formula is 21.6 meV per atom. The calculation puts the formation energy from the elements at 67.4 meV per atom.

Cell: 5.315 5.315 9.014 Å, 106.89 106.89 30.87°
Fractional coordinates of all 9 atoms:
Cu 0.501 0.501 0.640
Cu 0.499 0.499 0.360
Cu 0.149 0.149 0.254
Cu 0.173 0.173 0.553
Cu 0.851 0.851 0.746
Ag 0.500 0.500 0.000
Ag 0.820 0.820 0.138
Cu 0.827 0.827 0.447
Ag 0.180 0.180 0.862